(1)
The following is a meta-GGA SCAN calculation of Re2P at its PBEsol-relaxed geometry, from the Alexandria database.

Cell lengths 2.9345, 5.3458, 5.5183 Å; angles 101.62, 90.00, 105.93 degrees
Last column: nearest neighbours and their distance in Å.
Positions (direct):
Re: 0.3142 0.6284 0.3490  3 P 2.36-2.53
Re: 0.0368 0.0737 0.2795  2 P 2.36
Re: 0.9632 0.9263 0.7205  2 P 2.36
Re: 0.6858 0.3716 0.6510  3 P 2.36-2.53
P: 0.3499 0.6998 0.9398  5 Re 2.36-2.53
P: 0.6501 0.3002 0.0602  5 Re 2.36-2.53

Calculated values
Total energy ... -51.16 eV/atom
Excess energy over the best structure of this formula in the dataset ... 0.0 meV/atom
Spin magnetization ... 0.000 μB per atom
Energy relative to the elements ... -0.291 eV per atom
Space-group type ... C2/m, No. 12
D(E_F) ... 0.3513 states/eV/atom

(2)
The following is a meta-GGA SCAN calculation of ReP2 at its PBEsol-relaxed geometry, from the Alexandria database.

Cell lengths 4.7553, 4.7553, 4.7553 Å; angles 107.85, 110.29, 110.29 degrees
Last column: nearest neighbours and their distance in Å.
Positions (direct):
P: 0.7940 0.6470 0.1470  1 P 2.26, 4 Re 2.51
P: 0.5000 0.1470 0.3530  1 P 2.26, 4 Re 2.51
P: 0.5000 0.8530 0.6470  1 P 2.26, 4 Re 2.51
P: 0.2060 0.3530 0.8530  1 P 2.26, 4 Re 2.51
Re: 0.0000 0.2500 0.2500  8 P 2.51, 2 Re 2.80
Re: 0.0000 0.7500 0.7500  8 P 2.51, 2 Re 2.80

Calculated values
Total energy ... -30.62 eV/atom
Spin magnetization ... 0.000 μB per atom
Energy relative to the elements ... 0.007 eV per atom
Space-group type ... I4/mcm, No. 140
D(E_F) ... 0.3298 states/eV/atom

(3)
The following is a meta-GGA SCAN calculation of Re2P5 at its PBEsol-relaxed geometry, from the Alexandria database.

Cell lengths 7.3116, 8.2070, 8.3080 Å; angles 69.82, 67.63, 87.04 degrees
Last column: nearest neighbours and their distance in Å.
Positions (direct):
P: 0.9757 0.2201 0.8309  4 Re 2.38-2.39
P: 0.6782 0.1655 0.5371  3 P 2.22-2.24
P: 0.8933 0.5873 0.9516  1 P 2.25, 2 Re 2.37-2.41
P: 0.6022 0.9167 0.0464  2 P 2.09-2.15, 2 Re 2.27-2.33
P: 0.3218 0.8345 0.4629  3 P 2.22-2.24
P: 0.6246 0.5498 0.3617  2 P 2.21-2.22, 1 Re 2.43
P: 0.1602 0.5827 0.5206  2 P 2.21-2.24, 2 Re 2.43-2.45
P: 0.1368 0.0402 0.3665  3 P 2.23-2.26, 1 Re 2.42
P: 0.1067 0.4127 0.0484  1 P 2.25, 2 Re 2.37-2.41
P: 0.8398 0.4173 0.4794  2 P 2.21-2.24, 2 Re 2.43-2.45
P: 0.0243 0.7799 0.1691  4 Re 2.38-2.39
P: 0.2817 0.2520 0.4050  1 P 2.25, 3 Re 2.38-2.44
P: 0.7285 0.1582 0.2594  1 P 2.22, 3 Re 2.40-2.46
P: 0.3978 0.0833 0.9536  2 P 2.09-2.15, 2 Re 2.27-2.33
P: 0.2715 0.8418 0.7406  1 P 2.22, 3 Re 2.40-2.46
P: 0.7183 0.7480 0.5950  1 P 2.25, 3 Re 2.38-2.44
P: 0.4656 0.6943 0.0548  1 P 2.09, 3 Re 2.28-2.30
P: 0.3754 0.4502 0.6383  2 P 2.21-2.22, 1 Re 2.43
P: 0.5344 0.3057 0.9452  1 P 2.09, 3 Re 2.28-2.30
P: 0.8632 0.9598 0.6335  3 P 2.23-2.26, 1 Re 2.42
Re: 0.8213 0.4808 0.7495  6 P 2.28-2.45
Re: 0.4256 0.5774 0.8572  6 P 2.28-2.53
Re: 0.6960 0.8587 0.2907  6 P 2.27-2.54
Re: 0.0562 0.0883 0.0978  6 P 2.33-2.57
Re: 0.9438 0.9117 0.9022  6 P 2.33-2.57
Re: 0.3040 0.1413 0.7093  6 P 2.27-2.54
Re: 0.1787 0.5192 0.2505  6 P 2.28-2.45
Re: 0.5744 0.4226 0.1428  6 P 2.28-2.53

Calculated values
Total energy ... -28.15 eV/atom
Spin magnetization ... 0.000 μB per atom
Energy relative to the elements ... -0.409 eV per atom
Space-group type ... P-1, No. 2